VASP calculation (PBE) on crystalline TaCoAsBr2 at its relaxed geometry.

Calculated values
calculated volume	26.6	Å³ per atom
final energy	-4.654	eV/atom
ΔE to the lowest computed polymorph	0.00	eV per formula unit
formation energy from raw total energies	737	meV per atom

Cell and atoms, written as CIF:
```
data_TaCoAsBr2
_chemical_formula_sum 'Ta1 Co1 As1 Br2'
_cell_length_a 5.092
_cell_length_b 5.092
_cell_length_c 5.125
_cell_angle_alpha 90.00
_cell_angle_beta 90.00
_cell_angle_gamma 90.00
_symmetry_space_group_name_H-M 'P 4/m m m'
_symmetry_Int_Tables_number 123
_symmetry_space_group_name_Hall '-P 4 2'
loop_
_atom_site_label
_atom_site_type_symbol
_atom_site_fract_x
_atom_site_fract_y
_atom_site_fract_z
Ta1 Ta 0.000 0.000 0.000
Co1 Co 0.500 0.500 0.500
As1 As 0.000 0.000 0.500
Br1 Br 0.000 0.500 0.000
```